Record 1
This record from the Alexandria database describes a relaxed ZrAg2Mo crystal. The functional is GGA-PBE.

Output
* excess energy over the best structure of this formula in the dataset: 186.1 meV per atom
* formation enthalpy at 0 K: 1.44 eV per formula unit

Cell lengths 5.7312, 5.7312, 5.7312 Å; angles 150.18, 126.57, 62.39 degrees
Positions (direct):
1 Ag 0.9940 0.9940 0.0000
2 Ag 0.7478 0.2478 0.5000
3 Mo 0.4990 0.4990 0.0000
4 Zr 0.2593 0.7593 0.5000

Record 2
This record from the Alexandria database describes a relaxed ZrAg2Mo crystal. The functional is GGA-PBE.

Output
* excess energy over the best structure of this formula in the dataset: 0.0 meV per atom
* formation enthalpy at 0 K: 0.70 eV per formula unit

Cell lengths 2.8449, 2.8449, 9.3054 Å; angles 90.00, 90.00, 103.96 degrees
Positions (direct):
1 Ag 0.0000 0.0000 0.0062
2 Ag 0.5000 0.5000 0.2540
3 Mo 0.0000 0.0000 0.4990
4 Zr 0.5000 0.5000 0.7407